! PdRhN2O (PBE-GGA, optimized geometry); values from VASP
&SYSTEM
  ibrav = 0, nat = 5, ntyp = 4
/
ATOMIC_SPECIES
Pd 106.42 Pd.upf
Rh 102.91 Rh.upf
N 14.01 N.upf
O 16.00 O.upf
ATOMIC_POSITIONS angstrom
Pd 0.0000 0.0000 0.0000
Rh 1.9353 1.9353 2.0060
N 0.0000 1.9353 0.0000
N 1.9353 0.0000 0.0000
O 0.0000 0.0000 2.0060
CELL_PARAMETERS angstrom
3.8707 0.0000 0.0000
0.0000 3.8707 0.0000
0.0000 0.0000 4.0120
! Space-group type: No. 123

***

! PdRhNO2 (PBE-GGA, optimized geometry); values from VASP
&SYSTEM
  ibrav = 0, nat = 5, ntyp = 4
/
ATOMIC_SPECIES
Pd 106.42 Pd.upf
Rh 102.91 Rh.upf
N 14.01 N.upf
O 16.00 O.upf
ATOMIC_POSITIONS angstrom
Pd 0.0000 0.0000 0.0000
Rh 2.0321 2.0321 1.8793
N 0.0000 0.0000 1.8793
O 0.0000 2.0321 0.0000
O 2.0321 0.0000 0.0000
CELL_PARAMETERS angstrom
4.0643 0.0000 0.0000
0.0000 4.0643 0.0000
0.0000 0.0000 3.7586
! Space-group type: No. 123

***

! PdRuNO2 (PBE-GGA, optimized geometry); values from VASP
&SYSTEM
  ibrav = 0, nat = 5, ntyp = 4
/
ATOMIC_SPECIES
Pd 106.42 Pd.upf
Ru 101.07 Ru.upf
N 14.01 N.upf
O 16.00 O.upf
ATOMIC_POSITIONS angstrom
Pd 0.0000 0.0000 0.0000
Ru 2.0205 2.0205 1.8955
N 0.0000 0.0000 1.8955
O 0.0000 2.0205 0.0000
O 2.0205 0.0000 0.0000
CELL_PARAMETERS angstrom
4.0411 0.0000 0.0000
0.0000 4.0411 0.0000
0.0000 0.0000 3.7910
! Space-group type: No. 123

***

! PdRuNO2 (PBE-GGA, optimized geometry); values from VASP
&SYSTEM
  ibrav = 0, nat = 5, ntyp = 4
/
ATOMIC_SPECIES
Pd 106.42 Pd.upf
Ru 101.07 Ru.upf
N 14.01 N.upf
O 16.00 O.upf
ATOMIC_POSITIONS angstrom
Pd 0.0000 0.0000 0.0000
Ru 1.9292 1.9292 1.9390
N 1.9292 1.9292 0.0000
O 0.0000 1.9292 1.9390
O 1.9292 0.0000 1.9390
CELL_PARAMETERS angstrom
3.8584 0.0000 0.0000
0.0000 3.8584 0.0000
0.0000 0.0000 3.8780
! Space-group type: No. 123

***

! SbPdN2O (PBE-GGA, optimized geometry); values from VASP
&SYSTEM
  ibrav = 0, nat = 5, ntyp = 4
/
ATOMIC_SPECIES
Sb 121.76 Sb.upf
Pd 106.42 Pd.upf
N 14.01 N.upf
O 16.00 O.upf
ATOMIC_POSITIONS angstrom
Sb 0.0000 0.0000 0.0000
Pd 2.0438 2.0438 1.9362
N 0.0000 2.0438 0.0000
N 2.0438 0.0000 0.0000
O 0.0000 0.0000 1.9362
CELL_PARAMETERS angstrom
4.0876 0.0000 0.0000
0.0000 4.0876 0.0000
0.0000 0.0000 3.8724
! Space-group type: No. 123

***

! SbPdN2O (PBE-GGA, optimized geometry); values from VASP
&SYSTEM
  ibrav = 0, nat = 5, ntyp = 4
/
ATOMIC_SPECIES
Sb 121.76 Sb.upf
Pd 106.42 Pd.upf
N 14.01 N.upf
O 16.00 O.upf
ATOMIC_POSITIONS angstrom
Sb 0.0000 0.0000 0.0000
Pd 1.9822 1.9822 2.0303
N 0.0000 1.9822 2.0303
N 1.9822 0.0000 2.0303
O 1.9822 1.9822 0.0000
CELL_PARAMETERS angstrom
3.9645 0.0000 0.0000
0.0000 3.9645 0.0000
0.0000 0.0000 4.0606
! Space-group type: No. 123

***

! ScPdNO2 (PBE-GGA, optimized geometry); values from VASP
&SYSTEM
  ibrav = 0, nat = 5, ntyp = 4
/
ATOMIC_SPECIES
Sc 44.96 Sc.upf
Pd 106.42 Pd.upf
N 14.01 N.upf
O 16.00 O.upf
ATOMIC_POSITIONS angstrom
Sc 0.0000 0.0000 0.0000
Pd 1.9997 1.9997 2.1443
N 0.0000 0.0000 2.1443
O 0.0000 1.9997 0.0000
O 1.9997 0.0000 0.0000
CELL_PARAMETERS angstrom
3.9995 0.0000 0.0000
0.0000 3.9995 0.0000
0.0000 0.0000 4.2887
! Space-group type: No. 123

***

! ScPdNO2 (PBE-GGA, optimized geometry); values from VASP
&SYSTEM
  ibrav = 0, nat = 5, ntyp = 4
/
ATOMIC_SPECIES
Sc 44.96 Sc.upf
Pd 106.42 Pd.upf
N 14.01 N.upf
O 16.00 O.upf
ATOMIC_POSITIONS angstrom
Sc 0.0000 0.0000 0.0000
Pd 1.9914 1.9914 1.9136
N 1.9914 1.9914 0.0000
O 0.0000 1.9914 1.9136
O 1.9914 0.0000 1.9136
CELL_PARAMETERS angstrom
3.9828 0.0000 0.0000
0.0000 3.9828 0.0000
0.0000 0.0000 3.8273
! Space-group type: No. 123

***

! SnPdNO2 (PBE-GGA, optimized geometry); values from VASP
&SYSTEM
  ibrav = 0, nat = 5, ntyp = 4
/
ATOMIC_SPECIES
Sn 118.71 Sn.upf
Pd 106.42 Pd.upf
N 14.01 N.upf
O 16.00 O.upf
ATOMIC_POSITIONS angstrom
Sn 0.0000 0.0000 0.0000
Pd 2.0348 2.0348 2.0912
N 0.0000 0.0000 2.0912
O 0.0000 2.0348 0.0000
O 2.0348 0.0000 0.0000
CELL_PARAMETERS angstrom
4.0695 0.0000 0.0000
0.0000 4.0695 0.0000
0.0000 0.0000 4.1824
! Space-group type: No. 123

***

! SnPdNO (PBE-GGA, optimized geometry); values from VASP
&SYSTEM
  ibrav = 0, nat = 4, ntyp = 4
/
ATOMIC_SPECIES
Sn 118.71 Sn.upf
Pd 106.42 Pd.upf
N 14.01 N.upf
O 16.00 O.upf
ATOMIC_POSITIONS angstrom
Sn 0.0000 0.0000 0.0000
Pd 1.8700 1.4816 1.5475
N 2.4790 3.4923 1.9725
O 1.0455 1.8405 3.6969
CELL_PARAMETERS angstrom
3.4786 0.0000 0.0000
-0.1584 3.9408 0.0000
-0.4017 -0.7998 4.0388
! E above lowest polymorph: 371 meV/atom
! Space-group type: No. 1

***

! SnPdNO (PBE-GGA, optimized geometry); values from VASP
&SYSTEM
  ibrav = 0, nat = 4, ntyp = 4
/
ATOMIC_SPECIES
Sn 118.71 Sn.upf
Pd 106.42 Pd.upf
N 14.01 N.upf
O 16.00 O.upf
ATOMIC_POSITIONS angstrom
Sn 0.0000 0.0000 0.0000
Pd 1.8224 1.6603 2.3411
N 1.7835 0.0000 1.1291
O 1.8955 1.6603 4.6216
CELL_PARAMETERS angstrom
3.5671 0.0000 0.0000
0.0000 3.3206 0.0000
-1.6728 0.0000 5.8191
! E above lowest polymorph: 196 meV/atom
! Space-group type: No. 6

***

! SnPdNO2 (PBE-GGA, optimized geometry); values from VASP
&SYSTEM
  ibrav = 0, nat = 5, ntyp = 4
/
ATOMIC_SPECIES
Sn 118.71 Sn.upf
Pd 106.42 Pd.upf
N 14.01 N.upf
O 16.00 O.upf
ATOMIC_POSITIONS angstrom
Sn 0.0000 0.0000 0.0000
Pd 2.0692 2.0692 1.9078
N 2.0692 2.0692 0.0000
O 0.0000 2.0692 1.9078
O 2.0692 0.0000 1.9078
CELL_PARAMETERS angstrom
4.1384 0.0000 0.0000
0.0000 4.1384 0.0000
0.0000 0.0000 3.8156
! Space-group type: No. 123

***

ΔE_f (raw) readings, ordered: 1.70; 1.09; 1.12; 0.32; 1.00; 1.08; -0.23; -0.38; 0.34; 0.10; -0.07; 0.28 eV/atom